1.
A plane-wave DFT calculation with PBE was carried out for K2BaAs2 after structural relaxation.

a = 4.8671 Å, b = 4.8671 Å, c = 14.2660 Å
α = 90.00°, β = 90.00°, γ = 90.00°
Closest atoms and distances in Å follow each position.
Space group I4/mmm (No. 139)
Unique sites:
K 0.0000 0.5000 0.2500 x4  4 As 3.35, 4 K 3.44
Ba 0.0000 0.0000 0.0000 x2  8 As 3.66
As 0.0000 0.0000 0.4118 x4  1 As 2.52

Calculated values
distance to the lowest polymorph of the same formula: 0 meV/atom

***

2.
A plane-wave DFT calculation with PBE was carried out for KBa2As after structural relaxation.

a = 4.6360 Å, b = 4.6360 Å, c = 11.4090 Å
α = 90.00°, β = 90.00°, γ = 90.00°
Closest atoms and distances in Å follow each position.
Space group P4mm (No. 99)
Unique sites:
K 0.0000 0.0000 0.0000 x1  5 Ba 4.56-4.79, 4 K 4.64
Ba 0.0000 0.0000 0.3996 x1  4 As 3.30
Ba 0.5000 0.5000 0.6935 x1  1 As 3.01
As 0.5000 0.5000 0.4294 x1  5 Ba 3.01-3.30

***

3.
A plane-wave DFT calculation with PBE was carried out for KBa2As after structural relaxation.

a = 8.2657 Å, b = 4.7714 Å, c = 11.8486 Å
α = 90.00°, β = 90.05°, γ = 90.00°
Closest atoms and distances in Å follow each position.
Space group C2/m (No. 12)
Unique sites:
K 0.0000 0.0000 0.0000 x2  6 K 4.77, 6 Ba 5.00
Ba 0.1669 0.5000 0.6480 x4  3 As 3.27
As 0.0000 0.0000 0.5000 x2  6 Ba 3.27

***

4.
A plane-wave DFT calculation with PBE was carried out for KBa2As2 after structural relaxation.

a = 9.5374 Å, b = 9.5374 Å, c = 3.8317 Å
α = 90.00°, β = 90.00°, γ = 90.00°
Closest atoms and distances in Å follow each position.
Space group P4/mbm (No. 127)
Unique sites:
K 0.0000 0.0000 0.0000 x2  4 Ba 3.73, 2 K 3.83, 8 As 4.04
Ba 0.1316 0.3684 0.0000 x4  6 As 3.32-3.45, 1 Ba 3.55
As 0.1673 0.6673 0.5000 x4  6 Ba 3.32-3.45

Calculated values
distance to the lowest polymorph of the same formula: 42 meV/atom

***

5.
A plane-wave DFT calculation with PBE was carried out for KBa2As after structural relaxation.

a = 4.1795 Å, b = 4.1809 Å, c = 11.3350 Å
α = 90.00°, β = 90.12°, γ = 90.00°
Closest atoms and distances in Å follow each position.
Space group P2/m (No. 10)
Unique sites:
K 0.0000 0.0000 0.0000 x1  4 K 4.18
Ba 0.4987 0.5000 0.3490 x2  4 As 3.41-3.42, 1 Ba 3.42
As 0.0000 0.0000 0.5000 x1  8 Ba 3.41-3.42

***

6.
A plane-wave DFT calculation with PBE was carried out for K2BaAs after structural relaxation.

a = 5.0191 Å, b = 5.0191 Å, c = 26.1977 Å
α = 90.00°, β = 90.00°, γ = 90.00°
Closest atoms and distances in Å follow each position.
Space group I-42d (No. 122)
Unique sites:
K 0.2054 0.2500 0.1250 x8  2 K 3.25
Ba 0.0000 0.0000 0.5000 x4  4 As 3.55, 4 K 3.81
As 0.0000 0.0000 0.0000 x4  4 Ba 3.55, 4 K 3.66

***

7.
A plane-wave DFT calculation with PBE was carried out for KBa2As after structural relaxation.

a = 5.1091 Å, b = 5.1091 Å, c = 11.8336 Å
α = 90.00°, β = 90.00°, γ = 90.00°
Closest atoms and distances in Å follow each position.
Space group I-4m2 (No. 119)
Unique sites:
K 0.0000 0.0000 0.0000 x2  8 Ba 3.61-3.91, 4 As 3.91
Ba 0.0000 0.0000 0.5000 x2  4 K 3.61, 4 Ba 3.91, 4 As 3.91
Ba 0.0000 0.5000 0.2500 x2  4 As 3.61, 4 Ba 3.91, 4 K 3.91
As 0.0000 0.5000 0.7500 x2  8 Ba 3.61-3.91, 4 K 3.91

***

8.
A plane-wave DFT calculation with PBE was carried out for K2BaAs2 after structural relaxation.

a = 8.2208 Å, b = 8.2208 Å, c = 5.4404 Å
α = 90.00°, β = 90.00°, γ = 90.00°
Closest atoms and distances in Å follow each position.
Space group P4/mbm (No. 127)
Unique sites:
K 0.1565 0.3435 0.0000 x4  6 As 3.51-3.86, 1 K 3.64
Ba 0.0000 0.0000 0.5000 x2  4 As 3.34
As 0.1082 0.6082 0.5000 x4  1 As 2.51

Calculated values
distance to the lowest polymorph of the same formula: 31 meV/atom

***

9.
A plane-wave DFT calculation with PBE was carried out for K2BaAs after structural relaxation.

a = 6.7910 Å, b = 7.9013 Å, c = 6.1820 Å
α = 90.00°, β = 90.00°, γ = 90.00°
Closest atoms and distances in Å follow each position.
Space group Cmmm (No. 65)
Unique sites:
K 0.0000 0.1981 0.0000 x4  3 K 3.13-3.49, 2 As 3.46
Ba 0.0000 0.5000 0.5000 x2  2 As 3.40
As 0.0000 0.0000 0.5000 x2  2 Ba 3.40, 4 K 3.46

***

10.
A plane-wave DFT calculation with PBE was carried out for KBa2As after structural relaxation.

a = 8.5397 Å, b = 8.5397 Å, c = 8.5397 Å
α = 90.00°, β = 90.00°, γ = 90.00°
Closest atoms and distances in Å follow each position.
Space group F-43m (No. 216)
Unique sites:
K 0.0000 0.0000 0.0000 x4  4 Ba 3.70, 4 As 3.70
Ba 0.0000 0.0000 0.5000 x4  4 Ba 3.70, 4 As 3.70
Ba 0.2500 0.2500 0.2500 x4  4 Ba 3.70, 4 K 3.70
As 0.2500 0.2500 0.7500 x4  4 Ba 3.70, 4 K 3.70

***

11.
A plane-wave DFT calculation with PBE was carried out for KBa2As2 after structural relaxation.

a = 9.5199 Å, b = 9.5199 Å, c = 3.9604 Å
α = 90.00°, β = 90.00°, γ = 90.00°
Closest atoms and distances in Å follow each position.
Space group P4/mbm (No. 127)
Unique sites:
K 0.0000 0.0000 0.0000 x2  4 As 3.56, 2 K 3.96
Ba 0.1345 0.3655 0.5000 x4  6 As 3.35-3.48, 1 Ba 3.62
As 0.1647 0.6647 0.0000 x4  6 Ba 3.35-3.48, 2 K 3.56

Calculated values
distance to the lowest polymorph of the same formula: 0 meV/atom

***

12.
A plane-wave DFT calculation with PBE was carried out for KBaAs3 after structural relaxation.

a = 5.9887 Å, b = 5.9887 Å, c = 5.9887 Å
α = 90.00°, β = 90.00°, γ = 90.00°
Closest atoms and distances in Å follow each position.
Space group Pm-3m (No. 221)
Unique sites:
K 0.0000 0.0000 0.0000 x1  12 As 4.23
Ba 0.5000 0.5000 0.5000 x1  6 As 2.99
As 0.0000 0.5000 0.5000 x3  2 Ba 2.99

Calculated values
distance to the lowest polymorph of the same formula: 9 meV/atom

***

Energy relative to the elements (computed, kcal/mol of atoms): -12.15; -9.80; -15.15; -17.34; -13.15; -4.89; -6.03; -11.44; -6.16; -0.76; -18.31; 11.50